1.
# RbRuW3, relaxed, DFT PBE
# formation enthalpy at 0 K	4.04	eV/atom
data_RbRuW3
_chemical_formula_sum 'Rb1 Ru1 W3'
_cell_length_a 4.598
_cell_length_b 4.598
_cell_length_c 4.598
_cell_angle_alpha 90.00
_cell_angle_beta 90.00
_cell_angle_gamma 90.00
_symmetry_space_group_name_H-M 'P m -3 m'
_symmetry_Int_Tables_number 221
_symmetry_space_group_name_Hall '-P 4 2 3'
loop_
_atom_site_label
_atom_site_type_symbol
_atom_site_fract_x
_atom_site_fract_y
_atom_site_fract_z
_atom_site_occupancy
Rb1 Rb 0.000 0.000 0.000 1
Ru1 Ru 0.500 0.500 0.500 1
W1 W 0.000 0.000 0.500 1

---

2.
# Cd2SiSnOs, relaxed, DFT PBE
# ΔE_f (raw)	2.36	eV/f.u.
data_Cd2SiSnOs
_chemical_formula_sum 'Cd2 Si1 Sn1 Os1'
_cell_length_a 5.275
_cell_length_b 5.275
_cell_length_c 4.529
_cell_angle_alpha 90.00
_cell_angle_beta 90.00
_cell_angle_gamma 90.00
_symmetry_space_group_name_H-M 'P 4/m m m'
_symmetry_Int_Tables_number 123
_symmetry_space_group_name_Hall '-P 4 2'
loop_
_atom_site_label
_atom_site_type_symbol
_atom_site_fract_x
_atom_site_fract_y
_atom_site_fract_z
_atom_site_occupancy
Cd1 Cd 0.000 0.500 0.000 1
Si1 Si 0.000 0.000 0.500 1
Sn1 Sn 0.500 0.500 0.500 1
Os1 Os 0.000 0.000 0.000 1

---

3.
# CrCoRe2, relaxed, DFT PBE
# formation enthalpy at 0 K	0.08	eV/atom
data_CrCoRe2
_chemical_formula_sum 'Cr2 Co2 Re4'
_cell_length_a 3.773
_cell_length_b 3.773
_cell_length_c 7.359
_cell_angle_alpha 90.00
_cell_angle_beta 90.00
_cell_angle_gamma 90.00
_symmetry_space_group_name_H-M 'I 4/m m m'
_symmetry_Int_Tables_number 139
_symmetry_space_group_name_Hall '-I 4 2'
loop_
_atom_site_label
_atom_site_type_symbol
_atom_site_fract_x
_atom_site_fract_y
_atom_site_fract_z
_atom_site_occupancy
Cr1 Cr 0.000 0.000 0.000 1
Co1 Co 0.000 0.000 0.500 1
Re1 Re 0.000 0.500 0.250 1

---

4.
# KSr5Hg4, relaxed, DFT PBE
# formation enthalpy at 0 K	-0.41	eV/atom
data_KSr5Hg4
_chemical_formula_sum 'K1 Sr5 Hg4'
_cell_length_a 4.073
_cell_length_b 4.073
_cell_length_c 22.487
_cell_angle_alpha 90.00
_cell_angle_beta 90.00
_cell_angle_gamma 90.00
_symmetry_space_group_name_H-M 'P 4/m m m'
_symmetry_Int_Tables_number 123
_symmetry_space_group_name_Hall '-P 4 2'
loop_
_atom_site_label
_atom_site_type_symbol
_atom_site_fract_x
_atom_site_fract_y
_atom_site_fract_z
_atom_site_occupancy
K1 K 0.000 0.000 0.000 1
Sr1 Sr 0.500 0.500 0.156 1
Sr2 Sr 0.500 0.500 0.327 1
Sr3 Sr 0.500 0.500 0.500 1
Hg1 Hg 0.000 0.000 0.236 1
Hg2 Hg 0.000 0.000 0.413 1

---

5.
# GaHBr, relaxed, DFT PBE
# electronic total energy	-33.8	eV/cell
data_GaHBr
_chemical_formula_sum 'Ga4 H4 Br4'
_cell_length_a 8.165
_cell_length_b 4.088
_cell_length_c 10.036
_cell_angle_alpha 90.00
_cell_angle_beta 108.84
_cell_angle_gamma 90.00
_symmetry_space_group_name_H-M 'C 1 2/m 1'
_symmetry_Int_Tables_number 12
_symmetry_space_group_name_Hall '-C 2y'
loop_
_atom_site_label
_atom_site_type_symbol
_atom_site_fract_x
_atom_site_fract_y
_atom_site_fract_z
_atom_site_occupancy
Ga1 Ga 0.048 0.000 0.151 1
H1 H 0.143 0.000 0.008 1
Br1 Br 0.100 0.500 0.325 1

---

6.
# Ta3Au, relaxed, DFT PBE
# formation enthalpy at 0 K	0.11	eV/atom
data_Ta3Au
_chemical_formula_sum 'Ta12 Au4'
_cell_length_a 6.602
_cell_length_b 6.602
_cell_length_c 6.602
_cell_angle_alpha 90.00
_cell_angle_beta 90.00
_cell_angle_gamma 90.00
_symmetry_space_group_name_H-M 'F m -3 m'
_symmetry_Int_Tables_number 225
_symmetry_space_group_name_Hall '-F 4 2 3'
loop_
_atom_site_label
_atom_site_type_symbol
_atom_site_fract_x
_atom_site_fract_y
_atom_site_fract_z
_atom_site_occupancy
Ta1 Ta 0.000 0.000 0.000 1
Ta2 Ta 0.250 0.250 0.250 1
Au1 Au 0.000 0.000 0.500 1

---

7.
# PrHo2Pb2, relaxed, DFT PBE
# formation enthalpy at 0 K	-0.26	eV/atom
data_PrHo2Pb2
_chemical_formula_sum 'Pr2 Ho4 Pb4'
_cell_length_a 5.798
_cell_length_b 4.041
_cell_length_c 13.550
_cell_angle_alpha 90.00
_cell_angle_beta 95.75
_cell_angle_gamma 90.00
_symmetry_space_group_name_H-M 'P 1 21/m 1'
_symmetry_Int_Tables_number 11
_symmetry_space_group_name_Hall '-P 2yb'
loop_
_atom_site_label
_atom_site_type_symbol
_atom_site_fract_x
_atom_site_fract_y
_atom_site_fract_z
_atom_site_occupancy
Pr1 Pr 0.218 0.250 0.257 1
Ho1 Ho 0.248 0.750 0.472 1
Ho2 Ho 0.324 0.250 0.893 1
Pb1 Pb 0.174 0.750 0.059 1
Pb2 Pb 0.271 0.250 0.663 1

---

8.
# RbAgBi2F, relaxed, DFT PBE
# ΔE_f (raw)	-1.43	eV/f.u.
data_RbAgBi2F
_chemical_formula_sum 'Rb1 Ag1 Bi2 F1'
_cell_length_a 5.132
_cell_length_b 5.132
_cell_length_c 5.516
_cell_angle_alpha 90.00
_cell_angle_beta 90.00
_cell_angle_gamma 90.00
_symmetry_space_group_name_H-M 'P 4/m m m'
_symmetry_Int_Tables_number 123
_symmetry_space_group_name_Hall '-P 4 2'
loop_
_atom_site_label
_atom_site_type_symbol
_atom_site_fract_x
_atom_site_fract_y
_atom_site_fract_z
_atom_site_occupancy
Rb1 Rb 0.000 0.000 0.000 1
Ag1 Ag 0.500 0.500 0.000 1
Bi1 Bi 0.000 0.500 0.500 1
F1 F 0.500 0.500 0.500 1

---

9.
# Ti2CoSnH, relaxed, DFT PBE
# electronic total energy	-31.9	eV/cell
data_Ti2CoSnH
_chemical_formula_sum 'Ti2 Co1 Sn1 H1'
_cell_length_a 4.061
_cell_length_b 4.061
_cell_length_c 3.967
_cell_angle_alpha 90.00
_cell_angle_beta 90.00
_cell_angle_gamma 90.00
_symmetry_space_group_name_H-M 'P 4/m m m'
_symmetry_Int_Tables_number 123
_symmetry_space_group_name_Hall '-P 4 2'
loop_
_atom_site_label
_atom_site_type_symbol
_atom_site_fract_x
_atom_site_fract_y
_atom_site_fract_z
_atom_site_occupancy
Ti1 Ti 0.000 0.500 0.000 1
Co1 Co 0.000 0.000 0.500 1
Sn1 Sn 0.500 0.500 0.500 1
H1 H 0.000 0.000 0.000 1

---

10.
# CsTaSCl2, relaxed, DFT PBE
# ΔE_f (raw)	-5.25	eV/f.u.
data_CsTaSCl2
_chemical_formula_sum 'Cs1 Ta1 S1 Cl2'
_cell_length_a 5.096
_cell_length_b 5.096
_cell_length_c 4.830
_cell_angle_alpha 90.00
_cell_angle_beta 90.00
_cell_angle_gamma 90.00
_symmetry_space_group_name_H-M 'P 4/m m m'
_symmetry_Int_Tables_number 123
_symmetry_space_group_name_Hall '-P 4 2'
loop_
_atom_site_label
_atom_site_type_symbol
_atom_site_fract_x
_atom_site_fract_y
_atom_site_fract_z
_atom_site_occupancy
Cs1 Cs 0.000 0.000 0.000 1
Ta1 Ta 0.500 0.500 0.500 1
S1 S 0.500 0.500 0.000 1
Cl1 Cl 0.000 0.500 0.500 1

---

11.
# PmGeS, relaxed, DFT PBE
# ΔE_f (raw)	-3.72	eV/f.u.
data_PmGeS
_chemical_formula_sum 'Pm4 Ge4 S4'
_cell_length_a 5.562
_cell_length_b 5.424
_cell_length_c 9.719
_cell_angle_alpha 90.00
_cell_angle_beta 106.60
_cell_angle_gamma 90.00
_symmetry_space_group_name_H-M 'C 1 2/m 1'
_symmetry_Int_Tables_number 12
_symmetry_space_group_name_Hall '-C 2y'
loop_
_atom_site_label
_atom_site_type_symbol
_atom_site_fract_x
_atom_site_fract_y
_atom_site_fract_z
_atom_site_occupancy
Pm1 Pm 0.153 0.000 0.306 1
Ge1 Ge 0.242 0.500 0.001 1
S1 S 0.189 0.500 0.377 1

---

12.
# AcCe2Mg, relaxed, DFT PBE
# formation enthalpy at 0 K	0.32	eV/atom
data_AcCe2Mg
_chemical_formula_sum 'Ac3 Ce6 Mg3'
_cell_length_a 3.4313
_cell_length_b 3.4313
_cell_length_c 37.5749
_cell_angle_alpha 90.00
_cell_angle_beta 90.00
_cell_angle_gamma 120.00
_symmetry_space_group_name_H-M 'R -3 m'
_symmetry_Int_Tables_number 166
_symmetry_space_group_name_Hall '-R 3 2"'
loop_
_atom_site_label
_atom_site_type_symbol
_atom_site_fract_x
_atom_site_fract_y
_atom_site_fract_z
_atom_site_occupancy
Ac1 Ac 0.0000 0.0000 0.0000 1
Ce1 Ce 0.0000 0.0000 0.0920 1
Mg1 Mg 0.0000 0.0000 0.5000 1

---

13.
# YCd2IrPb, relaxed, DFT PBE
# formation enthalpy at 0 K	1.62	eV/atom
data_YCd2IrPb
_chemical_formula_sum 'Y1 Cd2 Ir1 Pb1'
_cell_length_a 5.616
_cell_length_b 5.616
_cell_length_c 5.839
_cell_angle_alpha 90.00
_cell_angle_beta 90.00
_cell_angle_gamma 90.00
_symmetry_space_group_name_H-M 'P 4/m m m'
_symmetry_Int_Tables_number 123
_symmetry_space_group_name_Hall '-P 4 2'
loop_
_atom_site_label
_atom_site_type_symbol
_atom_site_fract_x
_atom_site_fract_y
_atom_site_fract_z
_atom_site_occupancy
Y1 Y 0.000 0.000 0.000 1
Cd1 Cd 0.000 0.500 0.000 1
Ir1 Ir 0.500 0.500 0.500 1
Pb1 Pb 0.000 0.000 0.500 1

---

14.
# NaSn2F5, relaxed, DFT PBE
# ΔE_f (raw)	-19.47	eV/f.u.
data_NaSn2F5
_chemical_formula_sum 'Na8 Sn16 F40'
_cell_length_a 9.198
_cell_length_b 9.198
_cell_length_c 14.014
_cell_angle_alpha 90.00
_cell_angle_beta 90.00
_cell_angle_gamma 90.00
_symmetry_space_group_name_H-M 'P 42/n b c'
_symmetry_Int_Tables_number 133
loop_
_symmetry_equiv_pos_as_xyz
'x,y,z'
'-x,-y,-z'
'-y+1/2,x,z+1/2'
'y+1/2,-x,-z+1/2'
'-x+1/2,-y+1/2,z'
'x+1/2,y+1/2,-z'
'y,-x+1/2,z+1/2'
'-y,x+1/2,-z+1/2'
'x,-y+1/2,-z'
'-x,y+1/2,z'
'-y+1/2,-x+1/2,-z+1/2'
'y+1/2,x+1/2,z+1/2'
'-x+1/2,y,-z'
'x+1/2,-y,z'
'y,x,-z+1/2'
'-y,-x,z+1/2'
loop_
_atom_site_label
_atom_site_type_symbol
_atom_site_fract_x
_atom_site_fract_y
_atom_site_fract_z
_atom_site_occupancy
Na1 Na 0.250 0.250 0.000 1
Na2 Na 0.250 0.250 0.250 1
Sn1 Sn 0.065 0.583 0.117 1
F1 F 0.031 0.120 0.951 1
F2 F 0.056 0.056 0.750 1
F3 F 0.100 0.161 0.365 1

---

15.
# Nd4Ge2Cl5, relaxed, DFT PBE
# ΔE_f (raw)	-17.28	eV/f.u.
data_Nd4Ge2Cl5
_chemical_formula_sum 'Nd8 Ge4 Cl10'
_cell_length_a 23.200
_cell_length_b 4.146
_cell_length_c 8.102
_cell_angle_alpha 90.00
_cell_angle_beta 102.28
_cell_angle_gamma 90.00
_symmetry_space_group_name_H-M 'C 1 2/m 1'
_symmetry_Int_Tables_number 12
_symmetry_space_group_name_Hall '-C 2y'
loop_
_atom_site_label
_atom_site_type_symbol
_atom_site_fract_x
_atom_site_fract_y
_atom_site_fract_z
_atom_site_occupancy
Nd1 Nd 0.011 0.000 0.275 1
Nd2 Nd 0.163 0.500 0.463 1
Ge1 Ge 0.054 0.500 0.557 1
Cl1 Cl 0.000 0.500 0.000 1
Cl2 Cl 0.131 0.000 0.223 1
Cl3 Cl 0.225 0.000 0.669 1

---

16.
# MnAgSe2, relaxed, DFT PBE
# ΔE_f (raw)	-1.05	eV/f.u.
data_MnAgSe2
_chemical_formula_sum 'Mn2 Ag2 Se4'
_cell_length_a 6.417
_cell_length_b 3.572
_cell_length_c 8.042
_cell_angle_alpha 90.00
_cell_angle_beta 97.99
_cell_angle_gamma 90.00
_symmetry_space_group_name_H-M 'P 1 m 1'
_symmetry_Int_Tables_number 6
_symmetry_space_group_name_Hall 'P -2y'
loop_
_atom_site_label
_atom_site_type_symbol
_atom_site_fract_x
_atom_site_fract_y
_atom_site_fract_z
_atom_site_occupancy
Mn1 Mn 0.000 0.000 0.000 1
Mn2 Mn 0.111 0.500 0.366 1
Ag1 Ag 0.137 0.500 0.732 1
Ag2 Ag 0.761 0.000 0.599 1
Se1 Se 0.270 0.500 0.080 1
Se2 Se 0.325 0.000 0.534 1
Se3 Se 0.756 0.500 0.865 1
Se4 Se 0.843 0.000 0.286 1

---

17.
# RbLaNb2Al, relaxed, DFT PBE
# formation enthalpy at 0 K	1.64	eV/atom
data_RbLaNb2Al
_chemical_formula_sum 'Rb1 La1 Nb2 Al1'
_cell_length_a 5.163
_cell_length_b 5.163
_cell_length_c 6.040
_cell_angle_alpha 90.00
_cell_angle_beta 90.00
_cell_angle_gamma 90.00
_symmetry_space_group_name_H-M 'P 4/m m m'
_symmetry_Int_Tables_number 123
_symmetry_space_group_name_Hall '-P 4 2'
loop_
_atom_site_label
_atom_site_type_symbol
_atom_site_fract_x
_atom_site_fract_y
_atom_site_fract_z
_atom_site_occupancy
Rb1 Rb 0.000 0.000 0.000 1
La1 La 0.500 0.500 0.500 1
Nb1 Nb 0.000 0.500 0.500 1
Al1 Al 0.500 0.500 0.000 1

---

18.
# TlGa3Ge3, relaxed, DFT PBE
# formation enthalpy at 0 K	0.15	eV/atom
data_TlGa3Ge3
_chemical_formula_sum 'Tl2 Ga6 Ge6'
_cell_length_a 7.134
_cell_length_b 7.134
_cell_length_c 7.134
_cell_angle_alpha 90.00
_cell_angle_beta 90.00
_cell_angle_gamma 90.00
_symmetry_space_group_name_H-M 'P m -3 n'
_symmetry_Int_Tables_number 223
_symmetry_space_group_name_Hall '-P 4n 2 3'
loop_
_atom_site_label
_atom_site_type_symbol
_atom_site_fract_x
_atom_site_fract_y
_atom_site_fract_z
_atom_site_occupancy
Tl1 Tl 0.000 0.000 0.000 1
Ga1 Ga 0.000 0.250 0.500 1
Ge1 Ge 0.000 0.500 0.250 1

---

19.
# PrTl3Sn2Se6, relaxed, DFT PBE
# ΔE_f (raw)	-8.36	eV/f.u.
data_PrTl3Sn2Se6
_chemical_formula_sum 'Pr2 Tl6 Sn4 Se12'
_cell_length_a 7.344
_cell_length_b 12.783
_cell_length_c 8.019
_cell_angle_alpha 90.00
_cell_angle_beta 107.90
_cell_angle_gamma 90.00
_symmetry_space_group_name_H-M 'C 1 2/m 1'
_symmetry_Int_Tables_number 12
_symmetry_space_group_name_Hall '-C 2y'
loop_
_atom_site_label
_atom_site_type_symbol
_atom_site_fract_x
_atom_site_fract_y
_atom_site_fract_z
_atom_site_occupancy
Pr1 Pr 0.000 0.000 0.000 1
Tl1 Tl 0.000 0.162 0.500 1
Tl2 Tl 0.000 0.500 0.500 1
Sn1 Sn 0.000 0.333 0.000 1
Se1 Se 0.224 0.500 0.207 1
Se2 Se 0.243 0.171 0.214 1

---

20.
# PrCd2Ge, relaxed, DFT PBE
# formation enthalpy at 0 K	-0.40	eV/atom
data_PrCd2Ge
_chemical_formula_sum 'Pr1 Cd2 Ge1'
_cell_length_a 4.397
_cell_length_b 4.397
_cell_length_c 4.985
_cell_angle_alpha 90.00
_cell_angle_beta 90.00
_cell_angle_gamma 90.00
_symmetry_space_group_name_H-M 'P 4/m m m'
_symmetry_Int_Tables_number 123
_symmetry_space_group_name_Hall '-P 4 2'
loop_
_atom_site_label
_atom_site_type_symbol
_atom_site_fract_x
_atom_site_fract_y
_atom_site_fract_z
_atom_site_occupancy
Pr1 Pr 0.000 0.000 0.000 1
Cd1 Cd 0.000 0.500 0.500 1
Ge1 Ge 0.500 0.500 0.000 1